Crystalline InCuTe2IrSe at its relaxed geometry. Source: OQMD, functional PBE.

Unit cell a=7.346 b=7.346 c=9.711 alpha=90.00 beta=90.00 gamma=148.26
Sites, in units of the cell vectors:
1 In 0.246 0.754 0.750
2 In 0.754 0.246 0.250
3 Cu 0.016 0.984 0.250
4 Cu 0.984 0.016 0.750
5 Te 0.128 0.872 0.044
6 Te 0.128 0.872 0.456
7 Te 0.872 0.128 0.544
8 Te 0.872 0.128 0.956
9 Ir 0.500 0.500 0.000
10 Ir 0.500 0.500 0.500
11 Se 0.422 0.578 0.250
12 Se 0.578 0.422 0.750

## Properties
Mass density ... 8490 kg/m³
Total moment ... 0.00 μB per cell
E ... -0.3130 Ry per atom